{"formula": "SmHo2MoO8", "functional": "PBE with a Hubbard U", "state": "optimized geometry", "lattice_angstrom": [[3.553, -3.582, 0.000], [3.553, 3.582, 0.000], [0.000, 0.000, 6.877]], "species": ["Sm", "Ho", "Ho", "Mo", "O", "O", "O", "O", "O", "O", "O", "O"], "fractional_positions": [[0.000, 0.000, 0.000], [0.500, 0.500, 0.255], [0.500, 0.500, 0.745], [0.000, 0.000, 0.500], [0.185, 0.815, 0.292], [0.185, 0.815, 0.708], [0.276, 0.276, 0.500], [0.315, 0.315, 0.000], [0.685, 0.685, 0.000], [0.724, 0.724, 0.500], [0.815, 0.185, 0.292], [0.815, 0.185, 0.708]], "n_ef_per_ev_fu": 6.047, "energy_ry_per_atom": -0.5673, "volume_a3_per_atom": 14.586, "magmom_total_mub_per_fu": 0.9, "sg": "Cmmm"}